Record 1
# In2GeSe PBE optimized geometry
data_In2GeSe
_cell_length_a 6.235
_cell_length_b 6.235
_cell_length_c 7.724
_cell_angle_alpha 66.20
_cell_angle_beta 66.20
_cell_angle_gamma 90.00
_symmetry_space_group_name_H-M 'P 1'
_symmetry_Int_Tables_number 1
loop_
_symmetry_equiv_pos_as_xyz
'x,y,z'
loop_
_atom_site_label
_atom_site_fract_x
_atom_site_fract_y
_atom_site_fract_z
Ge1 0.500 0.500 0.000
Ge2 0.250 0.750 0.500
Se1 0.000 0.000 0.000
Se2 0.750 0.250 0.500
In1 0.604 0.125 0.250
In2 0.146 0.625 0.250
In3 0.375 0.396 0.750
In4 0.875 0.854 0.750
# Offset from the most stable computed form (eV/atom): 0.000
# Total magnetization (μB/atom): 0.00
# Space-group type: I-42d, No. 122
# Raw formation energy (eV/atom): -0.227

***

Record 2
# InGeSe3 PBE optimized geometry
data_InGeSe3
_cell_length_a 5.237
_cell_length_b 5.237
_cell_length_c 5.237
_cell_angle_alpha 90.00
_cell_angle_beta 90.00
_cell_angle_gamma 90.00
_symmetry_space_group_name_H-M 'P 1'
_symmetry_Int_Tables_number 1
loop_
_symmetry_equiv_pos_as_xyz
'x,y,z'
loop_
_atom_site_label
_atom_site_fract_x
_atom_site_fract_y
_atom_site_fract_z
Ge1 0.500 0.500 0.500
Se1 0.000 0.500 0.000
Se2 0.000 0.000 0.500
Se3 0.500 0.000 0.000
In1 0.000 0.000 0.000
# Total magnetization (μB/atom): 0.00
# Space-group type: Pm-3m, No. 221
# Raw formation energy (eV/atom): 0.421

***

Record 3
# InSiGe2Se PBE optimized geometry
data_InSiGe2Se
_cell_length_a 5.323
_cell_length_b 4.990
_cell_length_c 5.323
_cell_angle_alpha 90.00
_cell_angle_beta 90.00
_cell_angle_gamma 90.00
_symmetry_space_group_name_H-M 'P 1'
_symmetry_Int_Tables_number 1
loop_
_symmetry_equiv_pos_as_xyz
'x,y,z'
loop_
_atom_site_label
_atom_site_fract_x
_atom_site_fract_y
_atom_site_fract_z
Ge1 0.000 0.000 0.500
Ge2 0.500 0.000 0.000
Si1 0.000 0.500 0.000
Se1 0.500 0.500 0.500
In1 0.000 0.000 0.000
# Total magnetization (μB/atom): 0.00
# Space-group type: P4/mmm, No. 123
# Raw formation energy (eV/atom): 1.018

***

Record 4
# Sm6InGe2Se3 PBE optimized geometry
data_Sm6InGe2Se3
_cell_length_a 4.232
_cell_length_b 8.595
_cell_length_c 9.607
_cell_angle_alpha 105.77
_cell_angle_beta 102.72
_cell_angle_gamma 90.00
_symmetry_space_group_name_H-M 'P 1'
_symmetry_Int_Tables_number 1
loop_
_symmetry_equiv_pos_as_xyz
'x,y,z'
loop_
_atom_site_label
_atom_site_fract_x
_atom_site_fract_y
_atom_site_fract_z
Sm1 0.328 0.911 0.657
Sm2 0.670 0.572 0.340
Sm3 0.672 0.089 0.343
Sm4 0.000 0.265 0.000
Sm5 0.000 0.735 0.000
Sm6 0.330 0.428 0.660
In1 0.500 0.000 0.000
Ge1 0.836 0.673 0.671
Ge2 0.164 0.327 0.329
Se1 0.500 0.500 0.000
Se2 0.833 0.171 0.667
Se3 0.167 0.829 0.333
# Total magnetization (μB/atom): 0.00
# Space-group type: C2/m, No. 12
# Raw formation energy (eV/atom): -1.274